Computed, not measured: a relaxed Ca2AcMnN4 crystal at the GGA-PBE level of DFT.

a b c (Å): 6.1928 6.1928 11.7816
angles (deg): 90.00 90.00 147.33
Element x y z (fractional)
Ca 0.1287 0.8713 0.5405
Ca 0.1287 0.8713 0.9595
Ca 0.8713 0.1287 0.0405
Ca 0.8713 0.1287 0.4595
Ac 0.4098 0.5902 0.7500
Ac 0.5902 0.4098 0.2500
Mn 0.3209 0.6791 0.2500
Mn 0.6791 0.3209 0.7500
N 0.1042 0.8958 0.7500
N 0.2286 0.7714 0.1365
N 0.2286 0.7714 0.3635
N 0.5000 0.5000 0.0000
N 0.5000 0.5000 0.5000
N 0.7714 0.2286 0.6365
N 0.7714 0.2286 0.8635
N 0.8958 0.1042 0.2500

Summary:
- VASP energy: -7.101 eV per atom
- Total moment: 3.888 μB/cell
- Raw formation energy: -601.0 kJ/mol of formula units